Record 1
Below is an optimized crystal structure of La2Sm3Pd2, with properties calculated at the GGA-PBE level.

Properties
- raw total energy (eV per atom) = -5.392
- energy of formation from the pure elements (eV per atom) = -0.478
- SG = C2/m (12)
- theoretical density (kg/m3) = 7615

a = 3.842 Å, b = 6.634 Å, c = 9.364 Å
α = 114.79°, β = 90.00°, γ = 106.83°
Fractional positions:
Pd: 0.834 0.669 0.765
Pd: 0.166 0.331 0.235
La: 0.842 0.685 0.188
La: 0.158 0.315 0.812
Sm: 0.500 0.000 0.000
Sm: 0.616 0.231 0.438
Sm: 0.384 0.769 0.562

***

Record 2
Below is an optimized crystal structure of LaSmPd4, with properties calculated at the GGA-PBE level.

Properties
- raw total energy (eV per atom) = -5.858
- energy of formation from the pure elements (eV per atom) = -0.788
- energy above the lowest structure with this stoichiometry (meV per atom) = 33.2
- SG = F-43m (216)
- theoretical density (kg/m3) = 9887

a = 5.538 Å, b = 5.538 Å, c = 5.538 Å
α = 60.00°, β = 60.00°, γ = 60.00°
Fractional positions:
Pd: 0.625 0.126 0.625
Pd: 0.126 0.625 0.625
Pd: 0.625 0.625 0.625
Pd: 0.625 0.625 0.126
Sm: 0.250 0.250 0.250
La: 0.000 0.000 0.000

***

> What is the raw total energy in the second record?

-5.858 eV per atom